VASP calculation (PBE) on a relaxed structure of Ba2SrHg2Sb4.

Cell: 9.200 9.200 7.427 Å, 110.54 110.54 31.40°
Element x y z (fractional)
Ba 0.858 0.858 0.385
Ba 0.142 0.142 0.615
Hg 0.342 0.342 0.016
Hg 0.658 0.658 0.984
Sb 0.206 0.206 0.205
Sb 0.509 0.509 0.314
Sb 0.491 0.491 0.686
Sb 0.794 0.794 0.795
Sr 0.000 0.000 0.000

## Properties
final energy: -3.23 eV/atom

---

VASP calculation (PBE) on a relaxed structure of TmFe4Ge2.

Cell: 6.609 7.580 4.061 Å, 90.00 90.00 90.00°
Element x y z (fractional)
Fe 0.359 0.123 0.000
Fe 0.065 0.351 0.000
Fe 0.935 0.649 0.000
Fe 0.641 0.877 0.000
Fe 0.565 0.149 0.500
Fe 0.859 0.377 0.500
Fe 0.141 0.623 0.500
Fe 0.435 0.851 0.500
Ge 0.755 0.185 0.000
Ge 0.245 0.815 0.000
Ge 0.255 0.315 0.500
Ge 0.745 0.685 0.500
Tm 0.500 0.500 0.000
Tm 0.000 0.000 0.500

## Properties
final energy: -7.03 eV/atom
excess energy over the best structure of this formula in the dataset: 0.0 meV per atom

---

VASP calculation (PBE) on a relaxed structure of ZnPIrO.

Cell: 4.077 5.382 5.318 Å, 90.00 90.00 90.00°
Element x y z (fractional)
Ir 0.000 0.256 0.453
Ir 0.000 0.744 0.953
O 0.500 0.328 0.406
O 0.500 0.672 0.906
P 0.000 0.841 0.368
P 0.000 0.159 0.868
Zn 0.500 0.311 0.027
Zn 0.500 0.689 0.527

## Properties
final energy: -5.44 eV/atom
excess energy over the best structure of this formula in the dataset: 454.7 meV per atom

---

VASP calculation (PBE) on a relaxed structure of InMoAu3Se4.

Cell: 6.323 6.323 6.323 Å, 90.00 90.00 90.00°
Element x y z (fractional)
Au 0.500 0.500 0.000
Au 0.500 0.000 0.500
Au 0.000 0.500 0.500
In 0.000 0.000 0.000
Mo 0.500 0.500 0.500
Se 0.273 0.273 0.273
Se 0.727 0.727 0.273
Se 0.727 0.273 0.727
Se 0.273 0.727 0.727

## Properties
final energy: -4.15 eV/atom

---

VASP calculation (PBE) on a relaxed structure of Ba2NaIrN6.

Cell: 5.987 5.995 6.001 Å, 60.34 60.15 60.17°
Element x y z (fractional)
Ba 0.750 0.250 0.251
Ba 0.250 0.750 0.749
Ir 0.500 0.000 0.000
N 0.743 0.762 0.215
N 0.282 0.760 0.221
N 0.273 0.208 0.250
N 0.727 0.792 0.750
N 0.718 0.240 0.779
N 0.257 0.238 0.785
Na 0.000 0.500 0.500

## Properties
final energy: -5.65 eV/atom
excess energy over the best structure of this formula in the dataset: 6.7 meV per atom

---

VASP calculation (PBE) on a relaxed structure of Sm4BIBr2Cl2.

Cell: 9.314 9.314 8.749 Å, 103.52 103.52 24.96°
Element x y z (fractional)
B 0.500 0.500 0.000
Br 0.829 0.829 0.155
Br 0.171 0.171 0.845
Cl 0.161 0.161 0.306
Cl 0.839 0.839 0.694
I 0.500 0.500 0.500
Sm 0.645 0.645 0.079
Sm 0.000 0.000 0.201
Sm 0.000 0.000 0.799
Sm 0.355 0.355 0.921

## Properties
final energy: -4.87 eV/atom

---

VASP calculation (PBE) on a relaxed structure of NbBr3Cl.

Cell: 7.397 7.397 8.910 Å, 125.09 125.09 57.72°
Element x y z (fractional)
Br 0.730 0.221 0.201
Br 0.221 0.730 0.201
Br 0.317 0.317 0.345
Br 0.683 0.683 0.655
Br 0.779 0.270 0.799
Br 0.270 0.779 0.799
Cl 0.805 0.805 0.334
Cl 0.195 0.195 0.666
Nb 0.786 0.214 0.500
Nb 0.214 0.786 0.500

## Properties
final energy: -4.35 eV/atom

---

VASP calculation (PBE) on a relaxed structure of ZnFeSb.

Cell: 4.650 4.650 5.446 Å, 90.00 90.00 120.00°
Element x y z (fractional)
Fe 0.000 0.000 0.000
Fe 0.000 0.000 0.500
Sb 0.667 0.333 0.250
Sb 0.333 0.667 0.750
Zn 0.333 0.667 0.250
Zn 0.667 0.333 0.750

## Properties
final energy: -4.18 eV/atom
excess energy over the best structure of this formula in the dataset: 267.5 meV per atom